## CsBaRu3 (PBE-GGA)

Data for crystalline CsBaRu3 at its relaxed geometry.

Geometry as CIF:
```
data_CsBaRu3
_space_group_name_H-M_alt 'P m -3 m'
_space_group_IT_number 221
_space_group_name_Hall '-P 4 2 3'
_cell_length_a 5.0786
_cell_length_b 5.0786
_cell_length_c 5.0786
_cell_angle_alpha 90.00
_cell_angle_beta 90.00
_cell_angle_gamma 90.00
loop_
_atom_site_label
_atom_site_type_symbol
_atom_site_fract_x
_atom_site_fract_y
_atom_site_fract_z
Cs1 Cs 0.0000 0.0000 0.0000
Ba1 Ba 0.5000 0.5000 0.5000
Ru1 Ru 0.0000 0.0000 0.5000
```

* DFT formation energy: 2183 meV per atom
* M_tot: 2.80 μB per cell



## SrLaP (PBE-GGA)

Data for crystalline SrLaP at its relaxed geometry.

Geometry as CIF:
```
data_SrLaP
_space_group_name_H-M_alt 'F -4 3 m'
_space_group_IT_number 216
_space_group_name_Hall 'F -4 2 3'
_cell_length_a 7.1451
_cell_length_b 7.1451
_cell_length_c 7.1451
_cell_angle_alpha 90.00
_cell_angle_beta 90.00
_cell_angle_gamma 90.00
loop_
_atom_site_label
_atom_site_type_symbol
_atom_site_fract_x
_atom_site_fract_y
_atom_site_fract_z
Sr1 Sr 0.0000 0.0000 0.0000
La1 La 0.0000 0.0000 0.5000
P1 P 0.2500 0.2500 0.7500
```

* DFT formation energy: -771 meV per atom
* M_tot: 0.00 μB per cell



## Ta2FePt (PBE-GGA)

Data for crystalline Ta2FePt at its relaxed geometry.

Geometry as CIF:
```
data_Ta2FePt
_space_group_name_H-M_alt 'F -4 3 m'
_space_group_IT_number 216
_space_group_name_Hall 'F -4 2 3'
_cell_length_a 6.2787
_cell_length_b 6.2787
_cell_length_c 6.2787
_cell_angle_alpha 90.00
_cell_angle_beta 90.00
_cell_angle_gamma 90.00
loop_
_atom_site_label
_atom_site_type_symbol
_atom_site_fract_x
_atom_site_fract_y
_atom_site_fract_z
Ta1 Ta 0.0000 0.0000 0.0000
Ta2 Ta 0.2500 0.2500 0.2500
Fe1 Fe 0.0000 0.0000 0.5000
Pt1 Pt 0.2500 0.2500 0.7500
```

* DFT formation energy: -92 meV per atom
* M_tot: 0.15 μB per cell



no.,density (g cm⁻³)
1,7.3
2,4.7
3,16.4